YHgP2Ir | GGA-PBE | optimized geometry

a b c (Å): 5.143 5.143 5.599
angles (deg): 90.00 90.00 90.00
Space group P4/mmm (No. 123)
Unique sites:
Y 0.000 0.000 0.000 [1 per cell]
Hg 0.000 0.000 0.500 [1 per cell]
P 0.000 0.500 0.000 [2 per cell]
Ir 0.500 0.500 0.500 [1 per cell]

Output
VASP energy (eV/f.u.): -19.2